(1)
Ba: optimized geometry, PBE.

Cell and atoms, written as extended XYZ:
```
4
Lattice="-4.128 4.128 3.771 4.128 -4.128 3.771 4.128 4.128 -3.771" Properties=species:S:1:pos:R:3 pbc="T T T"
Ba 5.588 1.460 0.000
Ba 1.460 2.668 0.000
Ba 2.668 1.460 3.771
Ba -1.460 2.668 3.771
```

Output
- ΔE to the lowest computed polymorph: 137.5 meV per atom
- Space-group type: I4/mcm, No. 140
- Crystal system: tetragonal
- ΔH_f (0 K): 137.5 meV/atom
- ρ: 3.55 g/cm³

***

(2)
Ba: optimized geometry, PBE.

Cell and atoms, written as extended XYZ:
```
1
Lattice="4.253 0.000 0.000 -2.127 3.683 0.000 0.000 0.000 3.956" Properties=species:S:1:pos:R:3 pbc="T T T"
Ba 0.000 0.000 0.000
```

Output
- ΔE to the lowest computed polymorph: 173.7 meV per atom
- Space-group type: P6/mmm, No. 191
- Crystal system: hexagonal
- ΔH_f (0 K): 173.7 meV/atom
- ρ: 3.68 g/cm³

***

(3)
Ba: optimized geometry, PBE.

Cell and atoms, written as extended XYZ:
```
4
Lattice="4.341 0.000 0.000 -2.171 3.759 0.000 0.000 0.000 15.421" Properties=species:S:1:pos:R:3 pbc="T T T"
Ba 0.000 2.506 1.862
Ba 0.000 2.506 5.849
Ba 2.171 1.253 9.572
Ba 2.171 1.253 13.559
```

Output
- ΔE to the lowest computed polymorph: 106.8 meV per atom
- Space-group type: P6_3/mmc, No. 194
- Crystal system: hexagonal
- ΔH_f (0 K): 106.8 meV/atom
- ρ: 3.62 g/cm³

***

(4)
Ba: optimized geometry, PBE.

Cell and atoms, written as extended XYZ:
```
2
Lattice="4.438 0.000 0.000 0.000 7.324 0.000 -2.181 0.000 3.888" Properties=species:S:1:pos:R:3 pbc="T T T"
Ba 0.040 1.831 1.260
Ba 2.216 5.493 2.628
```

Output
- ΔE to the lowest computed polymorph: 14.2 meV per atom
- Space-group type: P2_1/m, No. 11
- Crystal system: monoclinic
- ΔH_f (0 K): 14.2 meV/atom
- ρ: 3.61 g/cm³

***

(5)
Ba: optimized geometry, PBE.

Cell and atoms, written as extended XYZ:
```
8
Lattice="-7.667 7.667 2.234 7.667 -7.667 2.234 7.667 7.667 -2.234" Properties=species:S:1:pos:R:3 pbc="T T T"
Ba 10.099 0.761 0.000
Ba 9.653 5.101 0.000
Ba 0.761 5.236 0.000
Ba 5.101 5.682 0.000
Ba 2.567 1.986 2.234
Ba 6.906 2.431 2.234
Ba -1.986 2.567 2.234
Ba -2.431 6.906 2.234
```

Output
- ΔE to the lowest computed polymorph: 98.0 meV per atom
- Space-group type: I4/m, No. 87
- Crystal system: tetragonal
- ΔH_f (0 K): 98.0 meV/atom
- ρ: 3.47 g/cm³

***

(6)
Ba: optimized geometry, PBE.

Cell and atoms, written as extended XYZ:
```
6
Lattice="-6.024 6.024 6.024 6.024 -6.024 6.024 6.024 6.024 -6.024" Properties=species:S:1:pos:R:3 pbc="T T T"
Ba 6.024 3.012 0.000
Ba 6.024 0.000 3.012
Ba 3.012 6.024 0.000
Ba 3.012 0.000 6.024
Ba 0.000 6.024 3.012
Ba 0.000 3.012 6.024
```

Output
- ΔE to the lowest computed polymorph: 1092.6 meV per atom
- Space-group type: Im-3m, No. 229
- Crystal system: cubic
- ΔH_f (0 K): 1092.6 meV/atom
- ρ: 1.56 g/cm³

***

(7)
Ba: optimized geometry, PBE.

Cell and atoms, written as extended XYZ:
```
2
Lattice="-3.813 3.813 2.061 3.813 -3.813 2.061 3.813 3.813 -2.061" Properties=species:S:1:pos:R:3 pbc="T T T"
Ba 3.813 1.907 0.515
Ba 0.000 1.907 1.546
```

Output
- ΔE to the lowest computed polymorph: 173.5 meV per atom
- Space-group type: I4_1/amd, No. 141
- Crystal system: tetragonal
- ΔH_f (0 K): 173.5 meV/atom
- ρ: 3.80 g/cm³

***

(8)
Ba2Be3: optimized geometry, PBE.

Cell and atoms, written as extended XYZ:
```
5
Lattice="3.883 0.000 0.000 -1.941 3.363 0.000 0.000 0.000 9.735" Properties=species:S:1:pos:R:3 pbc="T T T"
Ba 0.000 2.242 1.999
Ba 1.941 1.121 7.736
Be 0.000 0.000 4.868
Be 0.000 2.242 5.083
Be 1.941 1.121 4.652
```

Output
- Space-group type: P-3m1, No. 164
- Crystal system: trigonal
- ΔH_f (0 K): 203.9 meV/atom
- ρ: 3.94 g/cm³

***

(9)
BaBe3: optimized geometry, PBE.

Cell and atoms, written as extended XYZ:
```
4
Lattice="4.112 0.000 0.000 0.000 3.928 0.000 -0.014 0.000 5.158" Properties=species:S:1:pos:R:3 pbc="T T T"
Ba 0.000 0.000 0.000
Be 1.071 1.964 2.583
Be 2.049 0.000 2.579
Be 3.028 1.964 2.575
```

Output
- ΔE to the lowest computed polymorph: 236.0 meV per atom
- Space-group type: P2/m, No. 10
- Crystal system: monoclinic
- ΔH_f (0 K): 418.6 meV/atom
- ρ: 3.28 g/cm³

***

(10)
BaBe3: optimized geometry, PBE.

Cell and atoms, written as extended XYZ:
```
4
Lattice="4.884 0.000 0.000 0.000 4.884 0.000 0.000 0.000 3.132" Properties=species:S:1:pos:R:3 pbc="T T T"
Ba 0.000 0.000 0.000
Be 0.000 2.442 1.566
Be 2.442 0.000 1.566
Be 2.442 2.442 0.000
```

Output
- ΔE to the lowest computed polymorph: 1085.3 meV per atom
- Space-group type: P4/mmm, No. 123
- Crystal system: tetragonal
- ΔH_f (0 K): 1267.9 meV/atom
- ρ: 3.65 g/cm³

***

(11)
Ba3Be5: optimized geometry, PBE.

Cell and atoms, written as extended XYZ:
```
16
Lattice="10.737 0.000 0.000 -5.369 9.299 0.000 0.000 0.000 4.003" Properties=species:S:1:pos:R:3 pbc="T T T"
Ba -1.907 3.302 1.001
Ba -3.462 5.997 3.003
Ba 3.813 0.000 1.001
Ba 1.907 3.302 3.003
Ba 6.924 0.000 3.003
Ba 3.462 5.997 1.001
Be -0.618 1.070 3.003
Be -4.751 8.229 1.001
Be 1.235 0.000 3.003
Be 0.618 1.070 1.001
Be 0.000 6.199 0.000
Be 0.000 6.199 2.002
Be 5.369 3.100 0.000
Be 5.369 3.100 2.002
Be 9.502 0.000 1.001
Be 4.751 8.229 3.003
```

Output
- ΔE to the lowest computed polymorph: 0.0 meV per atom
- Space-group type: P6_3/mcm, No. 193
- Crystal system: hexagonal
- ΔH_f (0 K): 412.8 meV/atom
- ρ: 3.80 g/cm³

***

(12)
BaBe: optimized geometry, PBE.

Cell and atoms, written as extended XYZ:
```
16
Lattice="11.436 0.000 0.000 0.000 11.436 0.000 0.000 0.000 4.089" Properties=species:S:1:pos:R:3 pbc="T T T"
Ba 0.260 2.859 0.000
Ba 2.859 11.176 0.000
Ba 3.573 7.460 2.044
Ba 3.976 3.573 2.044
Ba 7.460 7.863 2.044
Ba 7.863 3.976 2.044
Ba 8.577 0.260 0.000
Ba 11.176 8.577 0.000
Be 0.993 5.404 2.044
Be 1.186 5.819 0.000
Be 5.404 10.443 2.044
Be 5.617 1.186 0.000
Be 5.819 10.250 0.000
Be 6.032 0.993 2.044
Be 10.250 5.617 0.000
Be 10.443 6.032 2.044
```

Output
- ΔE to the lowest computed polymorph: 37.4 meV per atom
- Space-group type: P4/m, No. 83
- Crystal system: tetragonal
- ΔH_f (0 K): 397.4 meV/atom
- ρ: 3.64 g/cm³

***

Q: Look up the ΔH_f (0 K) of the sixth one.
A: 1092.6 meV/atom

***

Q: What is the formula in the eleventh record?
A: Ba3Be5

***

Q: Which of these has the highest ρ?
A: Ba2Be3

***

Q: Look up the ΔH_f (0 K) of the seventh one.
A: 173.5 meV/atom